The following is a DFT calculation (PBE-GGA) of an optimized crystal structure of KTePt.

The structure in CIF format:
```
data_KTePt
_symmetry_space_group_name_H-M 'F m m 2'
_symmetry_Int_Tables_number 42
_symmetry_space_group_name_Hall 'F 2 -2'
_cell_length_a 5.363
_cell_length_b 5.528
_cell_length_c 11.961
_cell_angle_alpha 90.00
_cell_angle_beta 90.00
_cell_angle_gamma 90.00
loop_
_atom_site_label
_atom_site_type_symbol
_atom_site_fract_x
_atom_site_fract_y
_atom_site_fract_z
K1 K 0.000 0.000 0.000
Te1 Te 0.000 0.000 0.725
Pt1 Pt 0.000 0.000 0.266
```

Fermi-level density of states: 8.0 states/eV/cell
density: 6.777 g/cm³
raw total energy: -45.823 eV/cell



The following is a DFT calculation (PBE-GGA) of an optimized crystal structure of VInSb3.

The structure in CIF format:
```
data_VInSb3
_symmetry_space_group_name_H-M 'P m -3 m'
_symmetry_Int_Tables_number 221
_symmetry_space_group_name_Hall '-P 4 2 3'
_cell_length_a 5.188
_cell_length_b 5.188
_cell_length_c 5.188
_cell_angle_alpha 90.00
_cell_angle_beta 90.00
_cell_angle_gamma 90.00
loop_
_atom_site_label
_atom_site_type_symbol
_atom_site_fract_x
_atom_site_fract_y
_atom_site_fract_z
V1 V 0.000 0.000 0.000
In1 In 0.500 0.500 0.500
Sb1 Sb 0.000 0.000 0.500
```

Fermi-level density of states: 4.3 states/eV/cell
density: 6.314 g/cm³
raw total energy: -23.021 eV/cell



The following is a DFT calculation (PBE-GGA) of an optimized crystal structure of Ce3Ga8Rh3.

The structure in CIF format:
```
data_Ce3Ga8Rh3
_symmetry_space_group_name_H-M 'I m m m'
_symmetry_Int_Tables_number 71
_symmetry_space_group_name_Hall '-I 2 2'
_cell_length_a 4.261
_cell_length_b 9.949
_cell_length_c 12.279
_cell_angle_alpha 90.00
_cell_angle_beta 90.00
_cell_angle_gamma 90.00
loop_
_atom_site_label
_atom_site_type_symbol
_atom_site_fract_x
_atom_site_fract_y
_atom_site_fract_z
Ce1 Ce 0.000 0.000 0.000
Ce2 Ce 0.000 0.000 0.330
Ga1 Ga 0.000 0.278 0.125
Ga2 Ga 0.000 0.371 0.331
Rh1 Rh 0.000 0.215 0.500
Rh2 Rh 0.000 0.500 0.000
```

Fermi-level density of states: 27.3 states/eV/cell
density: 8.209 g/cm³
ΔE_f: -0.696 eV/atom



The following is a DFT calculation (PBE-GGA) of an optimized crystal structure of LiMnAl2.

The structure in CIF format:
```
data_LiMnAl2
_symmetry_space_group_name_H-M 'R -3 m'
_symmetry_Int_Tables_number 166
_symmetry_space_group_name_Hall '-R 3 2"'
_cell_length_a 2.7715
_cell_length_b 2.7715
_cell_length_c 26.6551
_cell_angle_alpha 90.00
_cell_angle_beta 90.00
_cell_angle_gamma 120.00
loop_
_atom_site_label
_atom_site_type_symbol
_atom_site_fract_x
_atom_site_fract_y
_atom_site_fract_z
Li1 Li 0.0000 0.0000 0.0000
Mn1 Mn 0.0000 0.0000 0.5000
Al1 Al 0.0000 0.0000 0.2434
```

Fermi-level density of states: 6.1 states/eV/cell
density: 3.255 g/cm³
ΔE_f: -0.065 eV/atom



The following is a DFT calculation (PBE-GGA) of an optimized crystal structure of Ac6SmTm.

The structure in CIF format:
```
data_Ac6SmTm
_symmetry_space_group_name_H-M 'C 1 2/m 1'
_symmetry_Int_Tables_number 12
_cell_length_a 17.809
_cell_length_b 6.315
_cell_length_c 6.383
_cell_angle_alpha 90.00
_cell_angle_beta 110.96
_cell_angle_gamma 90.00
loop_
_symmetry_equiv_pos_as_xyz
'x,y,z'
'-x,-y,-z'
'-x,y,-z'
'x,-y,z'
'x+1/2,y+1/2,z'
'-x+1/2,-y+1/2,-z'
'-x+1/2,y+1/2,-z'
'x+1/2,-y+1/2,z'
loop_
_atom_site_label
_atom_site_type_symbol
_atom_site_fract_x
_atom_site_fract_y
_atom_site_fract_z
Ac1 Ac 0.115 0.000 0.140
Ac2 Ac 0.116 0.500 0.589
Ac3 Ac 0.249 0.500 0.212
Sm1 Sm 0.000 0.000 0.500
Tm1 Tm 0.000 0.500 0.000
```

Fermi-level density of states: 28.1 states/eV/cell
density: 8.330 g/cm³
ΔE_f: 0.115 eV/atom



The following is a DFT calculation (PBE-GGA) of an optimized crystal structure of MnCuSn.

The structure in CIF format:
```
data_MnCuSn
_symmetry_space_group_name_H-M 'C 1 m 1'
_symmetry_Int_Tables_number 8
_cell_length_a 10.072
_cell_length_b 3.083
_cell_length_c 7.257
_cell_angle_alpha 90.00
_cell_angle_beta 118.09
_cell_angle_gamma 90.00
loop_
_symmetry_equiv_pos_as_xyz
'x,y,z'
'x,-y,z'
'x+1/2,y+1/2,z'
'x+1/2,-y+1/2,z'
loop_
_atom_site_label
_atom_site_type_symbol
_atom_site_fract_x
_atom_site_fract_y
_atom_site_fract_z
Mn1 Mn 0.000 0.000 0.000
Mn2 Mn 0.203 0.500 0.312
Cu1 Cu 0.179 0.500 0.925
Cu2 Cu 0.489 0.500 0.629
Sn1 Sn 0.270 0.000 0.674
Sn2 Sn 0.408 0.000 0.252
```

Fermi-level density of states: 8.2 states/eV/cell
density: 7.927 g/cm³
ΔE_f: 0.179 eV/atom